This record from Alexandria describes crystalline OsRu2Au at its relaxed geometry. The functional is PBE-GGA.

The structure in CIF format:
```
data_OsRu2Au
_space_group_name_H-M_alt 'P 4 m m'
_space_group_IT_number 99
_space_group_name_Hall 'P 4 -2'
_cell_length_a 2.748
_cell_length_b 2.748
_cell_length_c 7.950
_cell_angle_alpha 90.00
_cell_angle_beta 90.00
_cell_angle_gamma 90.00
loop_
_atom_site_label
_atom_site_type_symbol
_atom_site_fract_x
_atom_site_fract_y
_atom_site_fract_z
_atom_site_occupancy
Os1 Os 0.000 0.000 0.000 1
Ru1 Ru 0.000 0.000 0.465 1
Ru2 Ru 0.500 0.500 0.228 1
Au1 Au 0.500 0.500 0.730 1
```

Values from the calculation:
Offset from the most stable computed form ... 120.9 meV per atom
V ... 15.01 Å³ per atom
Calculated formation energy ... 358 meV per atom


This record from Alexandria describes crystalline Pa2Pd2Pt5 at its relaxed geometry. The functional is PBE-GGA.

The structure in CIF format:
```
data_Pa2Pd2Pt5
_space_group_name_H-M_alt 'I m a 2'
_space_group_IT_number 46
_space_group_name_Hall 'I 2 -2a'
_cell_length_a 18.098
_cell_length_b 7.493
_cell_length_c 4.953
_cell_angle_alpha 90.00
_cell_angle_beta 90.00
_cell_angle_gamma 90.00
loop_
_atom_site_label
_atom_site_type_symbol
_atom_site_fract_x
_atom_site_fract_y
_atom_site_fract_z
_atom_site_occupancy
Pa1 Pa 0.150 0.049 0.000 1
Pd1 Pd 0.000 0.000 0.856 1
Pd2 Pd 0.250 0.695 0.755 1
Pt1 Pt 0.043 0.160 0.362 1
Pt2 Pt 0.118 0.642 0.025 1
Pt3 Pt 0.250 0.138 0.550 1
```

Values from the calculation:
V ... 18.66 Å³ per atom
Calculated formation energy ... -702 meV per atom


This record from Alexandria describes crystalline Mg8Tl3Zn2 at its relaxed geometry. The functional is PBE-GGA.

The structure in CIF format:
```
data_Mg8Tl3Zn2
_space_group_name_H-M_alt 'P -1'
_space_group_IT_number 2
_space_group_name_Hall '-P 1'
_cell_length_a 5.981
_cell_length_b 6.720
_cell_length_c 8.729
_cell_angle_alpha 86.25
_cell_angle_beta 72.39
_cell_angle_gamma 64.64
loop_
_atom_site_label
_atom_site_type_symbol
_atom_site_fract_x
_atom_site_fract_y
_atom_site_fract_z
_atom_site_occupancy
Mg1 Mg 0.158 0.292 0.385 1
Mg2 Mg 0.188 0.773 0.866 1
Mg3 Mg 0.234 0.739 0.237 1
Mg4 Mg 0.311 0.192 0.723 1
Tl1 Tl 0.309 0.308 0.041 1
Tl2 Tl 0.500 0.500 0.500 1
Zn1 Zn 0.198 0.935 0.555 1
```

Values from the calculation:
V ... 23.18 Å³ per atom
Calculated formation energy ... 6 meV per atom


This record from Alexandria describes crystalline Dy7Al2Pt2 at its relaxed geometry. The functional is PBE-GGA.

The structure in CIF format:
```
data_Dy7Al2Pt2
_space_group_name_H-M_alt 'C m m m'
_space_group_IT_number 65
_space_group_name_Hall '-C 2 2'
_cell_length_a 8.035
_cell_length_b 10.903
_cell_length_c 7.001
_cell_angle_alpha 90.00
_cell_angle_beta 90.00
_cell_angle_gamma 90.00
loop_
_atom_site_label
_atom_site_type_symbol
_atom_site_fract_x
_atom_site_fract_y
_atom_site_fract_z
_atom_site_occupancy
Dy1 Dy 0.000 0.000 0.000 1
Dy2 Dy 0.000 0.500 0.255 1
Dy3 Dy 0.250 0.250 0.261 1
Al1 Al 0.166 0.000 0.500 1
Pt1 Pt 0.000 0.289 0.000 1
```

Values from the calculation:
V ... 27.88 Å³ per atom
Calculated formation energy ... -492 meV per atom


This record from Alexandria describes crystalline BC3 at its relaxed geometry. The functional is PBE-GGA.

The structure in CIF format:
```
data_BC3
_space_group_name_H-M_alt 'P -4 m 2'
_space_group_IT_number 115
_space_group_name_Hall 'P -4 -2'
_cell_length_a 2.520
_cell_length_b 2.520
_cell_length_c 11.694
_cell_angle_alpha 90.00
_cell_angle_beta 90.00
_cell_angle_gamma 90.00
loop_
_atom_site_label
_atom_site_type_symbol
_atom_site_fract_x
_atom_site_fract_y
_atom_site_fract_z
_atom_site_occupancy
B1 B 0.000 0.000 0.000 1
B2 B 0.500 0.500 0.178 1
C1 C 0.000 0.000 0.345 1
C2 C 0.000 0.500 0.091 1
C3 C 0.000 0.500 0.424 1
C4 C 0.000 0.500 0.728 1
C5 C 0.500 0.500 0.500 1
```

Values from the calculation:
Offset from the most stable computed form ... 47.7 meV per atom
V ... 6.19 Å³ per atom
Calculated formation energy ... 288 meV per atom


This record from Alexandria describes crystalline YAlZn6Ag at its relaxed geometry. The functional is PBE-GGA.

The structure in CIF format:
```
data_YAlZn6Ag
_space_group_name_H-M_alt 'I m m a'
_space_group_IT_number 74
_space_group_name_Hall '-I 2b 2'
_cell_length_a 5.080
_cell_length_b 9.326
_cell_length_c 15.915
_cell_angle_alpha 90.00
_cell_angle_beta 90.00
_cell_angle_gamma 90.00
loop_
_atom_site_label
_atom_site_type_symbol
_atom_site_fract_x
_atom_site_fract_y
_atom_site_fract_z
_atom_site_occupancy
Y1 Y 0.000 0.250 0.069 1
Al1 Al 0.000 0.000 0.500 1
Zn1 Zn 0.000 0.250 0.570 1
Zn2 Zn 0.000 0.250 0.893 1
Zn3 Zn 0.250 0.001 0.657 1
Ag1 Ag 0.250 0.250 0.750 1
```

Values from the calculation:
V ... 20.94 Å³ per atom
Calculated formation energy ... 113 meV per atom


Look up the calculated formation energy of the fifth one. 288 meV per atom


V of number 4 (Dy7Al2Pt2)? 27.88 Å³ per atom


Which formula does entry 3 have? Mg8Tl3Zn2